Density functional theory data (PBE) for crystalline InCuIr2 at its relaxed geometry.

The structure in CIF format:
```
data_InCuIr2
_chemical_formula_sum 'In2 Cu2 Ir4'
_space_group_name_H-M_alt 'C m m m'
_space_group_IT_number 65
_space_group_name_Hall '-C 2 2'
_cell_length_a 2.9353
_cell_length_b 4.8573
_cell_length_c 8.8244
_cell_angle_alpha 90.00
_cell_angle_beta 90.00
_cell_angle_gamma 90.00
loop_
_atom_site_label
_atom_site_type_symbol
_atom_site_fract_x
_atom_site_fract_y
_atom_site_fract_z
In1 In 0.0000 0.0000 0.0000
Cu1 Cu 0.0000 0.0000 0.5000
Ir1 Ir 0.0000 0.5000 0.2607
```

Properties
- calculated formation energy (meV/atom) = 323
- total magnetic moment (Bohr magnetons per cell) = 0.0

***

Density functional theory data (PBE) for crystalline FeSiHgBiPt at its relaxed geometry.

The structure in CIF format:
```
data_FeSiHgBiPt
_chemical_formula_sum 'Fe1 Si1 Hg1 Bi1 Pt1'
_space_group_name_H-M_alt 'P 1'
_space_group_IT_number 1
_space_group_name_Hall 'P 1'
_cell_length_a 3.2999
_cell_length_b 5.6821
_cell_length_c 5.9349
_cell_angle_alpha 69.41
_cell_angle_beta 89.94
_cell_angle_gamma 73.32
loop_
_atom_site_label
_atom_site_type_symbol
_atom_site_fract_x
_atom_site_fract_y
_atom_site_fract_z
Fe1 Fe 0.0000 0.0000 0.0000
Si1 Si 0.6281 0.7398 0.9074
Hg1 Hg 0.5591 0.8808 0.4081
Bi1 Bi 0.3369 0.3314 0.6237
Pt1 Pt 0.2888 0.4132 0.0746
```

Properties
- E_form (uncorrected) (kJ/mol of formula units) = 40.0
- total magnetic moment (Bohr magnetons per cell) = 1.9
- excess energy over the best structure of this formula in the dataset (eV/atom) = 0.1409